## CdBiSb3 (GGA-PBE)

Data for a relaxed CdBiSb3 crystal.

Summary:
polymorph energy (0 for the lowest one)	222.6	meV/atom
space group	Pm-3m
magnetization	0.00	Bohr magnetons per cell

Unit cell a=5.8932 b=5.8932 c=5.8932 alpha=90.00 beta=90.00 gamma=90.00
Positions (direct):
Sb1 0.0000 0.5000 0.0000
Sb2 0.0000 0.0000 0.5000
Sb3 0.5000 0.0000 0.0000
Bi1 0.0000 0.0000 0.0000
Cd1 0.5000 0.5000 0.5000

***

## CuRhCl2 (GGA-PBE)

Data for a relaxed CuRhCl2 crystal.

Summary:
polymorph energy (0 for the lowest one)	239.6	meV/atom
space group	Imm2
magnetization	0.00	Bohr magnetons per cell

Unit cell a=7.7128 b=7.7128 c=7.7128 alpha=155.76 beta=154.57 gamma=35.42
Positions (direct):
Rh1 0.3005 0.8005 0.5000
Cu1 0.4448 0.4448 0.0000
Cl1 0.0010 0.0010 0.0000
Cl2 0.7537 0.2537 0.5000

***

## ZnPI2O (GGA-PBE)

Data for a relaxed ZnPI2O crystal.

Summary:
polymorph energy (0 for the lowest one)	408.5	meV/atom
space group	P4/mmm
magnetization	0.00	Bohr magnetons per cell

Unit cell a=5.6401 b=5.6401 c=3.6718 alpha=90.00 beta=90.00 gamma=90.00
Positions (direct):
I1 0.0000 0.5000 0.0000
I2 0.5000 0.0000 0.0000
P1 0.5000 0.5000 0.5000
Zn1 0.0000 0.0000 0.0000
O1 0.0000 0.0000 0.5000

***

| no. | E_form (uncorrected) (eV/atom) |
| --- | --- |
| 1 | 0.900 |
| 2 | 0.061 |
| 3 | 0.340 |